Below is a relaxed structure of LiCaCdGe2, with properties calculated at the PBE level.

a = 4.317 Å, b = 4.317 Å, c = 6.510 Å
α = 109.36°, β = 109.36°, γ = 90.00°
Fractional positions:
Li (0.750, 0.250, 0.500)
Ge (0.606, 0.606, 0.212)
Ge (0.394, 0.394, 0.788)
Cd (0.250, 0.750, 0.500)
Ca (0.000, 0.000, 0.000)

Computed properties:
Electronic total energy in eV per atom: -3.2278
Total moment in μB/f.u.: 0.0
Formation energy in eV per atom: -0.415
Space group: I-4m2